No. 1
# RbHgW2O8

RbHgW2O8 after structural relaxation (PBE with a Hubbard U, Alexandria via LeMat-Bulk).

## Properties
E in eV per atom: -5.942

Unit cell a=7.8399 b=7.8399 c=7.2152 alpha=90.00 beta=90.00 gamma=90.00
With the nearest neighbours (Å) after each atom.
Space group I-4m2 (No. 119)
Asymmetric unit:
Rb1 0.0000 0.0000 0.0000 x2  4 O 2.60
Hg1 0.0000 0.5000 0.2500 x2  4 O 2.53
W1 0.0000 0.0000 0.5000 x2  4 O 1.83
W2 0.0000 0.5000 0.7500 x2  4 O 1.81
O1 0.0000 0.1921 0.3563 x8  1 W 1.83
O2 0.0000 0.3202 0.9075 x8  1 W 1.81

No. 2
# VSiN2F

VSiN2F after structural relaxation (PBE with a Hubbard U, Alexandria via LeMat-Bulk).

## Properties
Offset from the most stable computed form in meV/atom: 645

Unit cell a=3.8724 b=3.8724 c=3.8379 alpha=90.00 beta=90.00 gamma=90.00
With the nearest neighbours (Å) after each atom.
Space group P4/mmm (No. 123)
Asymmetric unit:
V1 0.0000 0.0000 0.0000 x1  2 F 1.92, 4 N 1.94
Si1 0.5000 0.5000 0.5000 x1  8 N 2.73, 4 F 2.74
N1 0.0000 0.5000 0.0000 x2  2 V 1.94
F1 0.0000 0.0000 0.5000 x1  2 V 1.92

Density of states at the Fermi level list, top to bottom, in states/eV/f.u.: 12.52, 1.55
Calculated density list, top to bottom, in g/cm³: 5.85, 3.64